Record 1
Crystalline CoTcPt4 at its relaxed geometry, computed with PBE.

Unit cell a=2.7457 b=2.7457 c=11.7067 alpha=90.00 beta=90.00 gamma=90.00
With the nearest neighbours (Å) after each atom.
Space group P4/mmm (No. 123)
Asymmetric unit:
Co 0.0000 0.0000 0.0000 (multiplicity 1)  8 Pt 2.64, 4 Co 2.75
Tc 0.5000 0.5000 0.5000 (multiplicity 1)  8 Pt 2.73, 4 Tc 2.75
Pt 0.0000 0.0000 0.3364 (multiplicity 2)  4 Tc 2.73, 8 Pt 2.75-2.89
Pt 0.5000 0.5000 0.1530 (multiplicity 2)  4 Co 2.64, 8 Pt 2.75-2.89

---

Record 2
Crystalline CoTcPt at its relaxed geometry, computed with PBE.

Unit cell a=4.2478 b=4.2478 c=2.6369 alpha=90.00 beta=90.00 gamma=120.00
With the nearest neighbours (Å) after each atom.
Space group P-6m2 (No. 187)
Asymmetric unit:
Co 0.0000 0.0000 0.0000 (multiplicity 1)  3 Pt 2.45, 2 Co 2.64
Tc 0.3333 0.6667 0.5000 (multiplicity 1)  2 Tc 2.64, 6 Co 2.78, 6 Pt 2.78
Pt 0.6667 0.3333 0.0000 (multiplicity 1)  3 Co 2.45, 2 Pt 2.64

---

Record 3
Crystalline CoTcPt at its relaxed geometry, computed with PBE.

Unit cell a=2.7125 b=2.7125 c=11.1002 alpha=90.00 beta=90.00 gamma=90.00
With the nearest neighbours (Å) after each atom.
Space group I4mm (No. 107)
Asymmetric unit:
Co 0.0000 0.0000 0.0000 (multiplicity 2)  4 Tc 2.52, 4 Pt 2.70, 4 Co 2.71
Tc 0.0000 0.0000 0.6466 (multiplicity 2)  4 Co 2.52, 4 Tc 2.71, 4 Pt 2.78
Pt 0.0000 0.0000 0.3284 (multiplicity 2)  4 Co 2.70, 4 Pt 2.71, 4 Tc 2.78

---

Record 4
Crystalline CoTcPt at its relaxed geometry, computed with PBE.

Unit cell a=2.7108 b=2.7108 c=6.5178 alpha=90.00 beta=90.00 gamma=120.00
With the nearest neighbours (Å) after each atom.
Space group P3m1 (No. 156)
Asymmetric unit:
Co 0.0000 0.0000 0.0000 (multiplicity 1)  3 Tc 2.54, 3 Pt 2.70, 6 Co 2.71
Tc 0.6667 0.3333 0.6938 (multiplicity 1)  3 Co 2.54, 6 Tc 2.71, 3 Pt 2.80
Pt 0.3333 0.6667 0.3367 (multiplicity 1)  3 Co 2.70, 6 Pt 2.71, 3 Tc 2.80

---

Quick rundown of E above lowest polymorph, same order as above: 0, 76, 0, 79 meV/atom
Quick rundown of DOS at the Fermi energy, same order as above: 5.6, 3.2, 2.5, 3.9 states/eV/f.u.
Quick rundown of formation enthalpy at 0 K, same order as above: -153, 24, -52, 28 meV/atom